# 1
First-principles (PBE) data for an optimized crystal structure of PmEu2Sn, as listed in Alexandria via LeMat-Bulk.

## Properties
Energy above the lowest structure with this stoichiometry = 140.7 meV/atom
Formation enthalpy at 0 K = -1.1 eV per formula unit
Density = 7.2 Mg/m³
E = -0.558 Ry/atom
Spin magnetization = 14.55 Bohr magnetons per cell

a b c (Å): 4.330 4.330 7.007
angles (deg): 90.00 90.00 90.00
Element x y z (fractional)
Pm 0.000 0.000 0.000
Eu 0.500 0.500 0.273
Eu 0.500 0.500 0.727
Sn 0.000 0.000 0.500



# 2
First-principles (PBE) data for an optimized crystal structure of La5Sm12Th2, as listed in Alexandria via LeMat-Bulk.

## Properties
Formation enthalpy at 0 K = 1.9 eV per formula unit
Density = 7.4 Mg/m³
E = -0.364 Ry/atom
Spin magnetization = 0.00 Bohr magnetons per cell

a b c (Å): 7.266 7.266 15.209
angles (deg): 105.22 105.22 60.05
Element x y z (fractional)
La 0.000 0.000 0.000
La 0.250 0.250 0.502
La 0.400 0.400 0.904
La 0.600 0.600 0.096
La 0.750 0.750 0.498
Sm 0.092 0.566 0.107
Sm 0.154 0.154 0.694
Sm 0.158 0.669 0.711
Sm 0.331 0.842 0.289
Sm 0.349 0.349 0.310
Sm 0.434 0.908 0.893
Sm 0.566 0.092 0.107
Sm 0.651 0.651 0.690
Sm 0.669 0.158 0.711
Sm 0.842 0.331 0.289
Sm 0.846 0.846 0.306
Sm 0.908 0.434 0.893
Th 0.250 0.750 0.500
Th 0.750 0.250 0.500



# 3
First-principles (PBE) data for an optimized crystal structure of ZnCoCl2, as listed in Alexandria via LeMat-Bulk.

## Properties
Energy above the lowest structure with this stoichiometry = 469.0 meV/atom
Energy relative to the elements, uncorrected = 129 meV/atom
Density = 4.2 Mg/m³
E = -0.212 Ry/atom
Spin magnetization = 1.81 Bohr magnetons per cell

a b c (Å): 3.308 3.746 6.305
angles (deg): 90.00 90.00 90.00
Element x y z (fractional)
Zn 0.000 0.000 0.000
Co 0.500 0.000 0.500
Cl 0.000 0.500 0.500
Cl 0.500 0.500 0.000



# 4
First-principles (PBE) data for an optimized crystal structure of InSbRh2, as listed in Alexandria via LeMat-Bulk.

## Properties
Energy relative to the elements, uncorrected = 91 meV/atom
Density = 10.1 Mg/m³
E = -0.390 Ry/atom
Spin magnetization = 0.00 Bohr magnetons per cell

a b c (Å): 4.690 4.690 4.690
angles (deg): 60.00 60.00 60.00
Element x y z (fractional)
In 0.000 0.000 0.000
Sb 0.250 0.250 0.250
Rh 0.500 0.500 0.500
Rh 0.750 0.750 0.750



# 5
First-principles (PBE) data for an optimized crystal structure of LuNi2Au, as listed in Alexandria via LeMat-Bulk.

## Properties
Formation enthalpy at 0 K = -1.6 eV per formula unit
Density = 13.0 Mg/m³
E = -0.386 Ry/atom
Spin magnetization = 0.00 Bohr magnetons per cell

a b c (Å): 4.453 4.453 4.453
angles (deg): 60.00 60.00 60.00
Element x y z (fractional)
Lu 0.000 0.000 0.000
Ni 0.250 0.250 0.250
Ni 0.750 0.750 0.750
Au 0.500 0.500 0.500



# 6
First-principles (PBE) data for an optimized crystal structure of PmTm3Mg2, as listed in Alexandria via LeMat-Bulk.

## Properties
Formation enthalpy at 0 K = -0.2 eV per formula unit
Density = 6.8 Mg/m³
E = -0.264 Ry/atom
Spin magnetization = 0.00 Bohr magnetons per cell

a b c (Å): 3.601 3.601 13.186
angles (deg): 90.00 90.00 90.00
Element x y z (fractional)
Pm 0.000 0.000 0.000
Tm 0.500 0.500 0.190
Tm 0.500 0.500 0.500
Tm 0.500 0.500 0.810
Mg 0.000 0.000 0.347
Mg 0.000 0.000 0.653



# 7
First-principles (PBE) data for an optimized crystal structure of CaPm6Pr3Er2, as listed in Alexandria via LeMat-Bulk.

## Properties
Formation enthalpy at 0 K = 0.5 eV per formula unit
Density = 6.7 Mg/m³
E = -0.327 Ry/atom
Spin magnetization = 0.00 Bohr magnetons per cell

a b c (Å): 6.362 6.362 12.049
angles (deg): 95.02 95.02 120.02
Element x y z (fractional)
Ca 0.000 0.000 0.000
Pm 0.083 0.424 0.247
Pm 0.258 0.258 0.752
Pm 0.424 0.083 0.247
Pm 0.576 0.917 0.753
Pm 0.742 0.742 0.248
Pm 0.917 0.576 0.753
Pr 0.166 0.834 0.500
Pr 0.500 0.500 0.500
Pr 0.834 0.166 0.500
Er 0.333 0.667 0.000
Er 0.667 0.333 0.000



# 8
First-principles (PBE) data for an optimized crystal structure of ZrCdP2, as listed in Alexandria via LeMat-Bulk.

## Properties
Formation enthalpy at 0 K = -2.1 eV per formula unit
Density = 5.4 Mg/m³
E = -0.411 Ry/atom
Spin magnetization = 0.00 Bohr magnetons per cell

a b c (Å): 3.789 6.390 6.390
angles (deg): 32.09 90.00 90.00
Element x y z (fractional)
Zr 0.000 0.000 0.000
Cd 0.500 0.227 0.227
P 0.000 0.661 0.661
P 0.500 0.436 0.436



# 9
First-principles (PBE) data for an optimized crystal structure of BeNiCl2, as listed in Alexandria via LeMat-Bulk.

## Properties
Energy above the lowest structure with this stoichiometry = 125.7 meV/atom
Energy relative to the elements, uncorrected = -333 meV/atom
Density = 2.7 Mg/m³
E = -0.267 Ry/atom
Spin magnetization = 0.00 Bohr magnetons per cell

a b c (Å): 6.988 6.988 6.988
angles (deg): 154.22 144.56 44.34
Element x y z (fractional)
Be 0.000 0.000 0.000
Ni 0.873 0.373 0.500
Cl 0.104 0.604 0.500
Cl 0.399 0.399 0.000



# 10
First-principles (PBE) data for an optimized crystal structure of NaCa3Ho2Se6, as listed in Alexandria via LeMat-Bulk.

## Properties
Energy relative to the elements, uncorrected = -1855 meV/atom
Density = 5.2 Mg/m³
E = -0.365 Ry/atom
Spin magnetization = 0.00 Bohr magnetons per cell

a b c (Å): 7.199 7.199 7.194
angles (deg): 99.62 99.62 119.94
Element x y z (fractional)
Na 0.000 0.000 0.000
Ca 0.164 0.836 0.500
Ca 0.500 0.500 0.500
Ca 0.836 0.164 0.500
Ho 0.333 0.667 0.000
Ho 0.667 0.333 0.000
Se 0.082 0.424 0.244
Se 0.261 0.261 0.757
Se 0.424 0.082 0.244
Se 0.576 0.918 0.756
Se 0.739 0.739 0.243
Se 0.918 0.576 0.756



# 11
First-principles (PBE) data for an optimized crystal structure of Pr2ZnFe3Ni12, as listed in Alexandria via LeMat-Bulk.

## Properties
Formation enthalpy at 0 K = 2.2 eV per formula unit
Density = 8.2 Mg/m³
E = -0.422 Ry/atom
Spin magnetization = 11.69 Bohr magnetons per cell

a b c (Å): 6.318 6.318 6.318
angles (deg): 83.97 83.97 83.97
Element x y z (fractional)
Pr 0.216 0.216 0.216
Pr 0.784 0.784 0.784
Zn 0.500 0.500 0.500
Fe 0.000 0.500 0.500
Fe 0.500 0.000 0.500
Fe 0.500 0.500 0.000
Ni 0.081 0.081 0.649
Ni 0.081 0.649 0.081
Ni 0.230 0.698 0.698
Ni 0.302 0.302 0.770
Ni 0.302 0.770 0.302
Ni 0.351 0.919 0.919
Ni 0.649 0.081 0.081
Ni 0.698 0.230 0.698
Ni 0.698 0.698 0.230
Ni 0.770 0.302 0.302
Ni 0.919 0.351 0.919
Ni 0.919 0.919 0.351



# 12
First-principles (PBE) data for an optimized crystal structure of Ce5Bi3Cl, as listed in Alexandria via LeMat-Bulk.

## Properties
Energy relative to the elements, uncorrected = -922 meV/atom
Density = 8.7 Mg/m³
E = -0.420 Ry/atom
Spin magnetization = 11.78 Bohr magnetons per cell

a b c (Å): 9.573 9.573 6.541
angles (deg): 90.00 90.00 120.00
Element x y z (fractional)
Ce 0.000 0.265 0.250
Ce 0.000 0.735 0.750
Ce 0.265 0.000 0.250
Ce 0.265 0.265 0.750
Ce 0.333 0.667 0.000
Ce 0.333 0.667 0.500
Ce 0.667 0.333 0.000
Ce 0.667 0.333 0.500
Ce 0.735 0.000 0.750
Ce 0.735 0.735 0.250
Bi 0.000 0.385 0.750
Bi 0.000 0.615 0.250
Bi 0.385 0.000 0.750
Bi 0.385 0.385 0.250
Bi 0.615 0.000 0.250
Bi 0.615 0.615 0.750
Cl 0.000 0.000 0.000
Cl 0.000 0.000 0.500



> E of number 9 (BeNiCl2)?

-0.267 Ry/atom